No. 1
The following is a PBEsol calculation of a relaxed LaSbIrRh2 crystal, from Alexandria.

ΔE_f (raw) in eV per atom: 0.239
Fermi-level density of states in states/eV/cell: 4.12
Electronic total energy in eV per cell: -34.81
Calculated volume in Å³/cell: 111.4

Unit cell a=4.778 b=4.778 c=4.879 alpha=90.00 beta=90.00 gamma=90.00
Atoms (fractional coordinates):
La (0.000, 0.000, 0.000)
Sb (0.500, 0.500, 0.500)
Ir (0.500, 0.500, 0.000)
Rh (0.000, 0.500, 0.500)
Rh (0.500, 0.000, 0.500)


No. 2
The following is a PBEsol calculation of a relaxed KCrCd crystal, from Alexandria.

Fermi-level density of states in states/eV/cell: 6.54
Electronic total energy in eV per cell: -38.22
Energy of formation from the pure elements in eV/atom: 1.01
Calculated volume in Å³/cell: 376.4

Unit cell a=7.220 b=7.220 c=7.220 alpha=90.00 beta=90.00 gamma=90.00
Atoms (fractional coordinates):
K (0.000, 0.000, 0.000)
K (0.000, 0.500, 0.500)
K (0.500, 0.000, 0.500)
K (0.500, 0.500, 0.000)
Cr (0.250, 0.250, 0.750)
Cr (0.250, 0.750, 0.250)
Cr (0.750, 0.250, 0.250)
Cr (0.750, 0.750, 0.750)
Cd (0.000, 0.000, 0.500)
Cd (0.000, 0.500, 0.000)
Cd (0.500, 0.000, 0.000)
Cd (0.500, 0.500, 0.500)


No. 3
The following is a PBEsol calculation of a relaxed ZnHgBr2 crystal, from Alexandria.

ΔE_f (raw) in eV per atom: -0.396
Electronic total energy in eV per cell: -7.47
Energy relative to the lowest polymorph listed for this composition in eV per atom: 0.1297
Calculated volume in Å³/cell: 116.8

Unit cell a=3.924 b=3.508 c=8.604 alpha=90.00 beta=99.39 gamma=90.00
Atoms (fractional coordinates):
Zn (0.000, 0.000, 0.000)
Hg (0.500, 0.000, 0.500)
Br (0.141, 0.500, 0.818)
Br (0.859, 0.500, 0.182)


No. 4
The following is a PBEsol calculation of a relaxed CaMgScIn2 crystal, from Alexandria.

Fermi-level density of states in states/eV/cell: 4.95
Electronic total energy in eV per cell: -15.06
Energy of formation from the pure elements in eV/atom: 0.27
Calculated volume in Å³/cell: 159.3

Unit cell a=5.410 b=5.410 c=5.443 alpha=90.00 beta=90.00 gamma=90.00
Atoms (fractional coordinates):
Ca (0.000, 0.000, 0.000)
Mg (0.500, 0.500, 0.000)
Sc (0.500, 0.500, 0.500)
In (0.000, 0.500, 0.500)
In (0.500, 0.000, 0.500)


No. 5
The following is a PBEsol calculation of a relaxed Tc2MoW crystal, from Alexandria.

Fermi-level density of states in states/eV/cell: 8.09
Electronic total energy in eV per cell: -94.54
Energy relative to the lowest polymorph listed for this composition in eV per atom: 0.1300
Energy of formation from the pure elements in eV/atom: 0.21
Calculated volume in Å³/cell: 118.8

Unit cell a=3.963 b=3.963 c=7.568 alpha=90.00 beta=90.00 gamma=90.00
Atoms (fractional coordinates):
Tc (0.000, 0.500, 0.250)
Tc (0.000, 0.500, 0.750)
Tc (0.500, 0.000, 0.250)
Tc (0.500, 0.000, 0.750)
Mo (0.000, 0.000, 0.000)
Mo (0.500, 0.500, 0.500)
W (0.000, 0.000, 0.500)
W (0.500, 0.500, 0.000)


No. 6
The following is a PBEsol calculation of a relaxed HRu2Pt crystal, from Alexandria.

Fermi-level density of states in states/eV/cell: 26.06
Electronic total energy in eV per cell: -110.19
Calculated volume in Å³/cell: 198.5

Unit cell a=5.833 b=5.833 c=5.833 alpha=90.00 beta=90.00 gamma=90.00
Atoms (fractional coordinates):
H (0.000, 0.000, 0.000)
H (0.000, 0.500, 0.500)
H (0.500, 0.000, 0.500)
H (0.500, 0.500, 0.000)
Ru (0.250, 0.250, 0.250)
Ru (0.250, 0.250, 0.750)
Ru (0.250, 0.750, 0.250)
Ru (0.250, 0.750, 0.750)
Ru (0.750, 0.250, 0.250)
Ru (0.750, 0.250, 0.750)
Ru (0.750, 0.750, 0.250)
Ru (0.750, 0.750, 0.750)
Pt (0.000, 0.000, 0.500)
Pt (0.000, 0.500, 0.000)
Pt (0.500, 0.000, 0.000)
Pt (0.500, 0.500, 0.500)


No. 7
The following is a PBEsol calculation of a relaxed Ta5Rh crystal, from Alexandria.

Fermi-level density of states in states/eV/cell: 4.28
Electronic total energy in eV per cell: -72.03
Energy relative to the lowest polymorph listed for this composition in eV per atom: 0.0379
Energy of formation from the pure elements in eV/atom: -0.19
Calculated volume in Å³/cell: 101.5

Unit cell a=3.242 b=3.242 c=9.658 alpha=90.00 beta=90.00 gamma=90.00
Atoms (fractional coordinates):
Ta (0.000, 0.000, 0.000)
Ta (0.000, 0.000, 0.340)
Ta (0.000, 0.000, 0.660)
Ta (0.500, 0.500, 0.170)
Ta (0.500, 0.500, 0.830)
Rh (0.500, 0.500, 0.500)


No. 8
The following is a PBEsol calculation of a relaxed LiMgZn crystal, from Alexandria.

Fermi-level density of states in states/eV/cell: 1.00
Electronic total energy in eV per cell: -5.55
Energy relative to the lowest polymorph listed for this composition in eV per atom: 0.0164
Energy of formation from the pure elements in eV/atom: -0.09
Calculated volume in Å³/cell: 50.1

Unit cell a=4.523 b=4.523 c=2.826 alpha=90.00 beta=90.00 gamma=120.00
Atoms (fractional coordinates):
Li (0.000, 0.000, 0.000)
Mg (0.333, 0.667, 0.620)
Zn (0.667, 0.333, 0.210)


No. 9
The following is a PBEsol calculation of a relaxed MoPBr crystal, from Alexandria.

ΔE_f (raw) in eV per atom: 0.284
Fermi-level density of states in states/eV/cell: 10.31
Electronic total energy in eV per cell: -74.31
Calculated volume in Å³/cell: 226.3

Unit cell a=3.404 b=5.253 c=12.657 alpha=90.00 beta=90.00 gamma=90.00
Atoms (fractional coordinates):
Mo (0.000, 0.000, 0.000)
Mo (0.000, 0.500, 0.500)
Mo (0.500, 0.000, 0.500)
Mo (0.500, 0.500, 0.000)
P (0.000, 0.000, 0.378)
P (0.000, 0.500, 0.878)
P (0.500, 0.000, 0.878)
P (0.500, 0.500, 0.378)
Br (0.000, 0.000, 0.663)
Br (0.000, 0.500, 0.163)
Br (0.500, 0.000, 0.163)
Br (0.500, 0.500, 0.663)


No. 10
The following is a PBEsol calculation of a relaxed CsCdSb crystal, from Alexandria.

ΔE_f (raw) in eV per atom: -0.388
Fermi-level density of states in states/eV/cell: 0.22
Electronic total energy in eV per cell: -15.72
Calculated volume in Å³/cell: 234.6

Unit cell a=4.823 b=4.823 c=11.645 alpha=90.00 beta=90.00 gamma=120.00
Atoms (fractional coordinates):
Cs (0.000, 0.000, 0.000)
Cs (0.000, 0.000, 0.500)
Cd (0.333, 0.667, 0.250)
Cd (0.667, 0.333, 0.750)
Sb (0.333, 0.667, 0.750)
Sb (0.667, 0.333, 0.250)


No. 11
The following is a PBEsol calculation of a relaxed CoSi8 crystal, from Alexandria.

ΔE_f (raw) in eV per atom: 0.248
Fermi-level density of states in states/eV/cell: 5.04
Electronic total energy in eV per cell: -51.48
Calculated volume in Å³/cell: 118.3

Unit cell a=5.807 b=5.807 c=5.807 alpha=96.71 beta=96.71 gamma=140.01
Atoms (fractional coordinates):
Co (0.000, 0.000, 0.000)
Si (0.000, 0.324, 0.324)
Si (0.000, 0.676, 0.676)
Si (0.324, 0.000, 0.324)
Si (0.339, 0.339, 0.678)
Si (0.339, 0.661, 0.000)
Si (0.661, 0.339, 0.000)
Si (0.661, 0.661, 0.322)
Si (0.676, 0.000, 0.676)


No. 12
The following is a PBEsol calculation of a relaxed SbAu4 crystal, from Alexandria.

ΔE_f (raw) in eV per atom: 0.029
Fermi-level density of states in states/eV/cell: 3.12
Electronic total energy in eV per cell: -40.22
Calculated volume in Å³/cell: 183.6

Unit cell a=6.740 b=6.740 c=4.042 alpha=90.00 beta=90.00 gamma=90.00
Atoms (fractional coordinates):
Sb (0.000, 0.000, 0.000)
Sb (0.500, 0.500, 0.500)
Au (0.104, 0.306, 0.500)
Au (0.194, 0.604, 0.000)
Au (0.306, 0.896, 0.500)
Au (0.396, 0.194, 0.000)
Au (0.604, 0.806, 0.000)
Au (0.694, 0.104, 0.500)
Au (0.806, 0.396, 0.000)
Au (0.896, 0.694, 0.500)


Question: Number 7 is which compound?
Answer: Ta5Rh